Compound: Zr2WO8
Source: the Alexandria database
Functional: PBE+U
Structure: optimized geometry

abc: 3.7961 5.7490 7.6320
angles: 97.68 90.00 109.27
With the nearest neighbours (Å) after each atom.
Positions (direct):
Zr: 0.0000 0.0000 0.0000  6 O 2.01-2.20
Zr: 0.4858 0.9699 0.3614  4 O 2.01-2.21
W: 0.2159 0.4306 0.6392  5 O 1.87-1.98
O: 0.0576 0.1139 0.4847  1 W 1.94
O: 0.1505 0.2967 0.8520  1 W 1.87, 1 Zr 2.09
O: 0.1851 0.7541 0.8028  1 O 1.46
O: 0.3240 0.6475 0.4618  1 W 1.92, 1 Zr 2.01
O: 0.5538 0.1070 0.1111  3 Zr 2.12-2.15
O: 0.5695 0.7562 0.8018  1 O 1.46
O: 0.6757 0.3501 0.5861  2 W 1.98
O: 0.9137 0.8270 0.2157  1 Zr 2.01

Summary:
The total magnetization is 0.0 μB per formula unit. The calculation puts the total energy at -8.158 eV per atom.